No. 1
Ba2CdH2: PBEsol geometry, meta-GGA SCAN.

Cell lengths 4.2711, 4.2711, 7.9037 Å; angles 105.68, 105.68, 90.00 degrees
Fractional positions:
Ba: 0.6496 0.6496 0.2991
Ba: 0.3504 0.3504 0.7009
Cd: 0.0000 0.0000 0.0000
H: 0.7500 0.2500 0.5000
H: 0.2500 0.7500 0.5000

Total magnetization   0.05 μB/f.u.
Calculated density   4.8 g/cm3
Total DFT energy (no corrections)   -118.71 eV/cell



No. 2
YZrAg2: PBEsol geometry, meta-GGA SCAN.

Cell lengths 3.1602, 3.1602, 9.9043 Å; angles 80.82, 80.82, 60.00 degrees
Fractional positions:
Y: 0.5000 0.5000 0.5000
Ag: 0.7478 0.7478 0.7565
Ag: 0.2522 0.2522 0.2435
Zr: 0.0000 0.0000 0.0000

Total magnetization   0.00 μB/f.u.
Calculated density   7.8 g/cm3
Offset from the most stable computed form   0.89 kcal/mol of atoms
Total DFT energy (no corrections)   -120.79 eV/cell
Formation energy from the elements   0.12 eV/atom



No. 3
Cu5Ni24: PBEsol geometry, meta-GGA SCAN.

Cell lengths 7.3860, 7.3860, 7.3860 Å; angles 109.47, 109.47, 109.47 degrees
Each line ends with the local moment (μB).
Fractional positions:
Ni: 0.3760 0.1900 0.0000  0.74
Ni: 0.2764 0.5941 0.5941  0.71
Ni: 0.0000 0.4059 0.6823  0.71
Ni: 0.0000 0.6823 0.4059  0.71
Ni: 0.6823 0.4059 0.0000  0.71
Ni: 0.3177 0.3177 0.7236  0.71
Ni: 0.8100 0.8100 0.1860  0.74
Ni: 0.0000 0.3760 0.1900  0.74
Ni: 0.8140 0.6240 0.6240  0.74
Ni: 0.3760 0.0000 0.1900  0.74
Ni: 0.0000 0.1900 0.3760  0.74
Ni: 0.5941 0.5941 0.2764  0.71
Ni: 0.4059 0.6823 0.0000  0.71
Ni: 0.8100 0.1860 0.8100  0.74
Ni: 0.7236 0.3177 0.3177  0.71
Ni: 0.6240 0.8140 0.6240  0.74
Ni: 0.3177 0.7236 0.3177  0.71
Ni: 0.4059 0.0000 0.6823  0.71
Ni: 0.1900 0.0000 0.3760  0.74
Ni: 0.6240 0.6240 0.8140  0.74
Ni: 0.1860 0.8100 0.8100  0.74
Ni: 0.6823 0.0000 0.4059  0.71
Ni: 0.1900 0.3760 0.0000  0.74
Ni: 0.5941 0.2764 0.5941  0.71
Cu: 0.3560 0.3560 0.3560  0.00
Cu: 0.0000 0.0000 0.0000  -0.03
Cu: 0.0000 0.6440 0.0000  0.00
Cu: 0.0000 0.0000 0.6440  0.00
Cu: 0.6440 0.0000 0.0000  0.00

Total magnetization   15.79 μB/f.u.
Calculated density   9.2 g/cm3
Total DFT energy (no corrections)   -460.82 eV/cell
Formation energy from the elements   0.11 eV/atom



What is the total DFT energy (no corrections) in the second record? -120.79 eV/cell